Record 1
Entry from OQMD: an optimized crystal structure of KAl2Au3 (PBE).

Cell lengths 11.4086, 8.3124, 5.6359 Å; angles 90.00, 90.00, 90.00 degrees
Last column: nearest neighbours and their distance in Å.
Space group Cmcm (No. 63)
One atom of each set of equivalent atoms:
K 0.0000 0.1512 0.2500 [4 per cell]  11 Au 3.51-3.84, 2 K 3.78, 4 Al 3.90
Al 0.1925 0.5000 0.0000 [8 per cell]  6 Au 2.57-2.75, 2 Al 2.82
Au 0.0000 0.4270 0.7500 [4 per cell]  4 Al 2.68, 2 Au 2.91
Au 0.2034 0.2164 0.7500 [8 per cell]  4 Al 2.57-2.75

## Properties
uncorrected energy	-3.53	eV per atom

---

Record 2
Entry from OQMD: an optimized crystal structure of SrLuAgTe2S (PBE).

Cell lengths 4.3058, 14.5384, 10.5328 Å; angles 90.00, 90.00, 90.00 degrees
Last column: nearest neighbours and their distance in Å.
Space group Cmcm (No. 63)
One atom of each set of equivalent atoms:
Sr 0.0000 0.2293 0.2500 [4 per cell]  2 S 3.10, 2 Te 3.41
Lu 0.0000 0.5000 0.0000 [4 per cell]  2 S 2.85, 4 Te 3.06
Ag 0.0000 0.0196 0.7500 [4 per cell]  2 S 2.56, 2 Te 2.77
Te 0.0000 0.1452 0.5520 [8 per cell]  1 Ag 2.77, 2 Lu 3.06
S 0.0000 0.4242 0.7500 [4 per cell]  2 Ag 2.56, 2 Lu 2.85

## Properties
uncorrected energy	-4.53	eV per atom
total magnetization	0.00	μB per formula unit

---

Record 3
Entry from OQMD: an optimized crystal structure of Li2SnPt (PBE).

Cell lengths 6.3260, 6.3260, 6.3260 Å; angles 90.00, 90.00, 90.00 degrees
Last column: nearest neighbours and their distance in Å.
Space group F-43m (No. 216)
One atom of each set of equivalent atoms:
Li 0.0000 0.0000 0.0000 [4 per cell]  4 Li 2.74, 4 Pt 2.74
Li 0.2500 0.2500 0.2500 [4 per cell]  4 Sn 2.74, 4 Li 2.74
Sn 0.0000 0.0000 0.5000 [4 per cell]  4 Pt 2.74, 4 Li 2.74
Pt 0.2500 0.2500 0.7500 [4 per cell]  4 Sn 2.74, 4 Li 2.74

## Properties
uncorrected energy	-4.13	eV per atom
total magnetization	0.00	μB per formula unit